No. 1
6
Lattice="2.771 -4.425 0.000 2.771 4.425 0.000 0.000 0.000 4.154" Properties=species:S:1:pos:R:3 comment="NdZnCu2Pd2 PBE relaxed" magnetic_moment_mub_per_atom=0.001 ef_ev_per_atom=-0.498 spacegroup="Cmmm, No. 65" e_tot_ev_per_atom=-4.47 pbc="T T T"
Nd 0.000 0.000 0.000
Zn 2.771 0.000 2.077
Cu 2.771 1.390 0.000
Cu 2.771 -1.390 0.000
Pd 1.385 2.212 2.077
Pd 1.385 -2.212 2.077

No. 2
24
Lattice="5.148 0.000 0.000 -2.574 4.458 0.000 0.000 0.000 12.689" Properties=species:S:1:pos:R:3 comment="Pr2Co7B3 PBE relaxed" magnetic_moment_mub_per_atom=0.035 spacegroup="P6/mmm, No. 191" e_tot_ev_per_atom=-6.86 pbc="T T T"
Pr 0.000 0.000 0.000
Pr 0.000 0.000 3.046
Pr 0.000 0.000 6.345
Pr 0.000 0.000 9.643
Co -1.287 2.229 1.466
Co -1.287 2.229 4.360
Co -1.287 2.229 8.330
Co -1.287 2.229 11.224
Co 0.000 2.972 6.345
Co 2.574 0.000 1.466
Co 2.574 0.000 4.360
Co 2.574 0.000 8.330
Co 2.574 0.000 11.224
Co 1.287 2.229 1.466
Co 1.287 2.229 4.360
Co 1.287 2.229 8.330
Co 1.287 2.229 11.224
Co 2.574 1.486 6.345
B 0.000 2.972 0.000
B 0.000 2.972 2.938
B 0.000 2.972 9.752
B 2.574 1.486 0.000
B 2.574 1.486 2.938
B 2.574 1.486 9.752

No. 3
5
Lattice="3.787 0.000 0.000 0.000 1.999 7.346 0.000 -1.999 7.346" Properties=species:S:1:pos:R:3 comment="NdSmTlNi2 PBE relaxed" magnetic_moment_mub_per_atom=0.000 spacegroup="Amm2, No. 38" e_tot_ev_per_atom=-5.01 pbc="T T T"
Nd 0.000 0.000 0.000
Sm 0.000 0.000 4.057
Tl 1.893 0.000 9.390
Ni 1.893 0.000 6.386
Ni 1.893 0.000 12.323

No. 4
8
Lattice="4.500 0.000 0.000 0.000 7.164 0.000 0.000 0.000 4.697" Properties=species:S:1:pos:R:3 comment="ScZn PBE relaxed" magnetic_moment_mub_per_atom=0.019 ef_ev_per_atom=-0.124 spacegroup="Pmm2, No. 25" e_tot_ev_per_atom=-3.92 pbc="T T T"
Sc 0.000 0.000 0.000
Sc 0.000 2.035 2.445
Sc 0.000 5.128 2.445
Sc 2.250 0.000 2.309
Zn 0.000 3.582 0.137
Zn 2.250 1.895 4.521
Zn 2.250 3.582 1.889
Zn 2.250 5.268 4.521

No. 5
60
Lattice="5.317 0.000 0.000 0.000 9.784 0.000 -0.328 0.000 15.916" Properties=species:S:1:pos:R:3 comment="Si2Ag6O7 PBE relaxed" spacegroup="P2_1, No. 4" polymorph_energy_ev_per_atom=0.003 e_tot_ev_per_atom=-5.29 pbc="T T T"
Si 1.085 0.000 4.856
Si 1.188 7.677 7.007
Si 1.111 9.730 12.853
Si 1.072 7.835 15.289
Si 3.918 2.943 0.627
Si 3.878 4.838 3.064
Si 3.801 2.785 8.909
Si 3.905 4.892 11.061
Ag 0.740 7.365 10.766
Ag 1.036 0.670 1.148
Ag 0.883 0.501 9.121
Ag 1.133 5.091 0.758
Ag 1.056 5.151 5.045
Ag 0.862 2.543 14.796
Ag 1.140 7.178 2.814
Ag 1.165 2.681 3.300
Ag 0.961 5.250 13.266
Ag 1.072 4.754 8.418
Ag 1.061 2.493 11.108
Ag 1.549 2.470 6.626
Ag 3.440 7.361 9.290
Ag 3.929 7.385 4.808
Ag 3.917 9.646 7.498
Ag 4.028 0.358 2.650
Ag 3.824 7.572 12.617
Ag 3.850 2.286 13.102
Ag 4.127 7.435 1.120
Ag 3.934 0.259 10.871
Ag 3.856 0.199 15.158
Ag 4.107 5.392 6.795
Ag 3.954 5.562 14.768
Ag 4.249 2.473 5.151
O 0.115 8.970 3.812
O 0.243 2.884 0.844
O 0.217 4.768 3.004
O 0.170 0.889 5.921
O 0.123 2.751 9.040
O 1.657 8.293 8.448
O 1.835 8.398 0.843
O 1.639 1.498 13.044
O 1.823 6.170 6.830
O 1.733 9.124 11.473
O 1.857 8.628 5.796
O 1.706 8.858 14.137
O 1.719 6.345 15.034
O 2.213 0.915 4.115
O 2.776 5.806 11.801
O 3.271 1.453 0.882
O 3.284 3.966 1.779
O 3.132 3.736 10.120
O 3.257 4.233 4.443
O 3.167 1.278 9.086
O 3.350 6.390 2.872
O 3.154 3.506 15.073
O 3.333 3.401 7.468
O 4.866 7.643 6.877
O 4.820 5.780 9.995
O 4.772 9.659 12.912
O 4.747 7.776 15.072
O 4.874 4.079 12.104

No. 6
8
Lattice="4.084 0.000 0.000 0.000 6.560 0.000 0.000 0.000 5.528" Properties=species:S:1:pos:R:3 comment="SrCdNO PBE relaxed" spacegroup="Pmc2_1, No. 26" polymorph_energy_ev_per_atom=0.059 e_tot_ev_per_atom=-4.58 pbc="T T T"
Sr 0.000 1.387 0.000
Sr 0.000 5.173 2.764
Cd 2.042 1.985 2.810
Cd 2.042 4.575 0.046
N 0.000 1.158 2.635
N 0.000 5.402 5.399
O 2.042 2.436 5.016
O 2.042 4.124 2.251

No. 7
6
Lattice="3.181 0.000 0.000 0.000 3.181 0.000 0.000 0.000 7.931" Properties=species:S:1:pos:R:3 comment="AlSi3Tc2 PBE relaxed" magnetic_moment_mub_per_atom=0.003 spacegroup="P4mm, No. 99" e_tot_ev_per_atom=-7.32 pbc="T T T"
Al 0.000 0.000 0.000
Si 0.000 0.000 5.311
Si 1.591 1.591 1.349
Si 1.591 1.591 3.972
Tc 0.000 0.000 2.700
Tc 1.591 1.591 6.509

No. 8
11
Lattice="-2.039 2.095 12.038 2.039 -2.095 12.038 2.039 2.095 -12.038" Properties=species:S:1:pos:R:3 comment="PrSm2Si4Ni2Pd2 PBE relaxed" magnetic_moment_mub_per_atom=0.001 spacegroup="Immm, No. 71" e_tot_ev_per_atom=-6.10 pbc="T T T"
Pr 0.000 0.000 0.000
Sm 2.039 0.000 8.372
Sm 0.000 2.095 3.667
Si 2.039 0.000 4.890
Si 0.000 0.000 10.847
Si 0.000 0.000 13.230
Si 0.000 2.095 7.148
Ni 0.000 0.000 6.009
Ni 0.000 0.000 18.068
Pd 2.039 0.000 2.438
Pd 0.000 2.095 9.600

No. 9
4
Lattice="0.000 3.282 3.282 3.282 0.000 3.282 3.282 3.282 0.000" Properties=species:S:1:pos:R:3 comment="ScInNiAu PBE relaxed" magnetic_moment_mub_per_atom=0.000 spacegroup="F-43m, No. 216" e_tot_ev_per_atom=-4.83 pbc="T T T"
Sc 0.000 0.000 0.000
In 1.641 1.641 1.641
Ni 3.282 3.282 3.282
Au 4.923 4.923 4.923

No. 10
8
Lattice="4.659 0.000 0.000 0.000 4.659 0.000 0.000 0.000 6.574" Properties=species:S:1:pos:R:3 comment="Li2HfScTl2Pt2 PBE relaxed" magnetic_moment_mub_per_atom=0.001 spacegroup="P-4m2, No. 115" e_tot_ev_per_atom=-5.18 pbc="T T T"
Li 0.000 2.330 1.626
Li 2.330 0.000 4.949
Hf 0.000 0.000 3.287
Sc 2.330 2.330 0.000
Tl 0.000 0.000 0.000
Tl 2.330 2.330 3.287
Pt 0.000 2.330 4.876
Pt 2.330 0.000 1.698

No. 11
9
Lattice="7.666 0.000 0.000 -3.833 6.639 0.000 0.000 0.000 3.903" Properties=species:S:1:pos:R:3 comment="Gd3Cd3PdPt2 PBE relaxed" magnetic_moment_mub_per_atom=0.002 ef_ev_per_atom=-0.842 spacegroup="P-62m, No. 189" e_tot_ev_per_atom=-4.61 pbc="T T T"
Gd -2.266 3.926 0.000
Gd 1.566 2.713 0.000
Gd 4.533 0.000 0.000
Cd -0.977 1.693 1.951
Cd 1.955 0.000 1.951
Cd 2.855 4.946 1.951
Pd 0.000 0.000 0.000
Pt 0.000 4.426 1.951
Pt 3.833 2.213 1.951

No. 12
3
Lattice="0.000 3.276 3.276 3.276 0.000 3.276 3.276 3.276 0.000" Properties=species:S:1:pos:R:3 comment="HoTaPd PBE relaxed" magnetic_moment_mub_per_atom=0.635 ef_ev_per_atom=1.054 spacegroup="F-43m, No. 216" polymorph_energy_ev_per_atom=0.815 e_tot_ev_per_atom=-6.15 pbc="T T T"
Ho 0.000 0.000 0.000
Ta 1.638 1.638 1.638
Pd 4.914 4.914 4.914

No. 13
16
Lattice="7.635 0.000 0.000 0.000 6.970 0.000 0.000 0.000 6.393" Properties=species:S:1:pos:R:3 comment="SnTePtO PBE relaxed" magnetic_moment_mub_per_atom=0.001 spacegroup="Pca2_1, No. 29" polymorph_energy_ev_per_atom=0.110 e_tot_ev_per_atom=-5.06 pbc="T T T"
Sn 0.914 0.506 0.000
Sn 2.903 0.506 3.196
Sn 4.731 6.464 0.000
Sn 6.721 6.464 3.196
Te 0.850 4.361 4.139
Te 2.967 4.361 0.943
Te 4.667 2.609 4.139
Te 6.785 2.609 0.943
Pt 0.406 4.896 0.307
Pt 3.411 4.896 3.503
Pt 4.224 2.074 0.307
Pt 7.228 2.074 3.503
O 1.459 1.222 4.525
O 2.358 1.222 1.329
O 5.276 5.748 4.525
O 6.176 5.748 1.329

No. 14
96
Lattice="10.068 0.000 0.000 -0.009 10.137 0.000 -0.005 -0.007 10.492" Properties=species:S:1:pos:R:3 comment="BaHf31O64 PBE relaxed" magnetic_moment_mub_per_atom=0.000 spacegroup="P1, No. 1" e_tot_ev_per_atom=-9.97 pbc="T T T"
Ba 0.000 0.000 0.000
Hf 2.453 5.088 7.981
Hf 2.461 2.532 5.019
Hf 2.474 5.081 2.794
Hf 2.472 7.580 5.051
Hf 2.499 2.612 10.260
Hf 2.522 0.047 7.884
Hf 2.518 7.453 10.325
Hf 2.528 10.127 2.804
Hf 4.782 0.025 0.152
Hf 4.807 2.533 2.411
Hf 4.807 2.560 7.646
Hf 4.820 5.052 5.372
Hf 4.832 10.128 5.360
Hf 4.842 5.065 0.148
Hf 4.831 7.617 2.419
Hf 4.844 7.548 7.635
Hf 7.467 0.000 7.957
Hf 7.480 2.533 10.303
Hf 7.500 2.518 5.020
Hf 7.500 5.064 2.757
Hf 7.504 7.595 10.300
Hf 7.511 5.054 8.025
Hf 7.514 7.593 5.030
Hf 7.522 10.114 2.745
Hf 9.812 2.520 7.646
Hf 9.818 7.559 2.445
Hf 9.821 7.565 7.654
Hf 9.827 10.132 5.380
Hf 9.841 2.587 2.442
Hf 9.847 5.039 0.151
Hf 9.838 5.053 5.394
O 0.704 4.541 1.983
O 0.727 9.442 7.235
O 0.757 4.350 7.149
O 0.755 6.978 0.646
O 0.776 2.335 0.702
O 0.765 6.876 5.916
O 0.792 1.808 5.944
O 0.850 9.304 2.161
O 1.414 1.767 8.590
O 1.468 4.338 4.531
O 1.474 1.809 3.297
O 1.485 6.878 3.332
O 1.481 6.908 8.529
O 1.528 9.449 4.620
O 1.546 4.488 9.773
O 2.029 9.337 9.686
O 3.379 1.268 1.340
O 3.429 3.816 6.421
O 3.436 8.878 6.440
O 3.448 3.819 1.201
O 3.442 6.342 6.596
O 3.460 6.313 1.385
O 3.468 1.304 6.557
O 3.462 8.825 1.217
O 3.837 1.289 9.179
O 3.839 3.796 3.817
O 3.840 3.821 9.041
O 3.853 6.331 3.989
O 3.867 1.271 3.978
O 3.858 8.853 3.848
O 3.867 6.316 9.212
O 3.997 8.894 9.049
O 5.759 1.857 0.656
O 5.746 9.493 1.921
O 5.780 9.384 7.110
O 5.799 4.360 1.896
O 5.794 6.892 0.666
O 5.807 4.366 7.130
O 5.806 6.883 5.896
O 5.826 1.800 5.917
O 6.430 1.811 8.551
O 6.460 9.426 9.771
O 6.488 6.832 8.545
O 6.500 1.837 3.290
O 6.508 4.352 4.510
O 6.511 4.342 9.759
O 6.516 9.415 4.505
O 6.524 6.894 3.280
O 8.316 8.763 1.339
O 8.417 1.353 1.417
O 8.438 3.820 1.215
O 8.462 1.249 6.554
O 8.466 3.784 6.448
O 8.459 6.316 6.607
O 8.481 6.293 1.342
O 8.479 8.863 6.387
O 8.652 8.748 8.895
O 8.699 1.363 9.072
O 8.866 3.811 3.841
O 8.881 1.257 3.988
O 8.870 6.322 3.995
O 8.889 6.310 9.244
O 8.898 3.812 9.085
O 8.901 8.856 3.853

No. 15
9
Lattice="3.595 0.000 0.000 0.000 5.967 3.444 0.000 -5.967 3.444" Properties=species:S:1:pos:R:3 comment="HfSc2Ge3Os3 PBE relaxed" magnetic_moment_mub_per_atom=0.001 spacegroup="Amm2, No. 38" e_tot_ev_per_atom=-8.42 pbc="T T T"
Hf 0.000 0.000 0.000
Sc 0.000 -2.422 4.213
Sc 0.000 2.422 4.213
Ge 0.000 0.000 2.826
Ge 1.797 -3.946 2.801
Ge 1.797 3.946 2.801
Os 1.797 -1.479 1.920
Os 1.797 1.479 1.920
Os 1.797 0.000 4.561

No. 16
3
Lattice="0.000 3.720 3.720 3.720 0.000 3.720 3.720 3.720 0.000" Properties=species:S:1:pos:R:3 comment="PmThMg PBE relaxed" magnetic_moment_mub_per_atom=0.005 spacegroup="F-43m, No. 216" polymorph_energy_ev_per_atom=0.000 e_tot_ev_per_atom=-4.05 pbc="T T T"
Pm 0.000 0.000 0.000
Th 3.720 3.720 3.720
Mg 1.860 1.860 1.860